## ScReNi2 (GGA-PBE)

Data for an optimized crystal structure of ScReNi2.

```
ScReNi2
1.0
8.7049 -0.0122 -0.0072
8.2640 2.7353 -0.0072
8.2640 1.3262 2.3923
Re Ni Sc
1 2 1
Direct
0.2500 0.2500 0.2500
0.9969 0.9969 0.9969
0.5031 0.5031 0.5031
0.7500 0.7500 0.7500
```

Computed properties:
**E_form**: 0.184 eV per atom
**Space group**: R-3m (166)
**Calculated volume**: 14.34 Å³/atom
**Final energy**: -0.54398 Ry per atom
**Relative energy among the computed polymorphs**: 0.322 eV/atom